InRu2W | PBE | optimized geometry

Cell and atoms, written as CIF:
```
data_InRu2W
_chemical_formula_sum 'In4 Ru8 W4'
_cell_length_a 7.1637
_cell_length_b 7.1637
_cell_length_c 5.7160
_cell_angle_alpha 90.00
_cell_angle_beta 90.00
_cell_angle_gamma 90.00
_space_group_name_H-M_alt 'I -4 2 d'
_space_group_IT_number 122
_space_group_name_Hall 'I -4 2bw'
loop_
_atom_site_label
_atom_site_fract_x
_atom_site_fract_y
_atom_site_fract_z
_atom_site_occupancy
In1 0.0000 0.0000 0.0000 1
Ru1 0.2036 0.2500 0.6250 1
W1 0.0000 0.0000 0.5000 1
```

Computed properties:
ΔH_f (0 K)	0.63	eV per atom
energy above the lowest structure with this stoichiometry	0.611	eV per atom
theoretical density	11.340	g/cm3
size of the total moment	0.00	μB per cell



In3RuW | PBE | optimized geometry

Cell and atoms, written as CIF:
```
data_In3RuW
_chemical_formula_sum 'In3 Ru1 W1'
_cell_length_a 5.0868
_cell_length_b 5.0868
_cell_length_c 5.0868
_cell_angle_alpha 90.00
_cell_angle_beta 90.00
_cell_angle_gamma 90.00
_space_group_name_H-M_alt 'P m -3 m'
_space_group_IT_number 221
_space_group_name_Hall '-P 4 2 3'
loop_
_atom_site_label
_atom_site_fract_x
_atom_site_fract_y
_atom_site_fract_z
_atom_site_occupancy
In1 0.0000 0.0000 0.5000 1
Ru1 0.0000 0.0000 0.0000 1
W1 0.5000 0.5000 0.5000 1
```

Computed properties:
ΔH_f (0 K)	1.22	eV per atom
energy above the lowest structure with this stoichiometry	0.000	eV per atom
theoretical density	7.940	g/cm3
size of the total moment	4.69	μB per cell



InRuW2 | PBE | optimized geometry

Cell and atoms, written as CIF:
```
data_InRuW2
_chemical_formula_sum 'In4 Ru4 W8'
_cell_length_a 7.4802
_cell_length_b 7.4802
_cell_length_c 5.3286
_cell_angle_alpha 90.00
_cell_angle_beta 90.00
_cell_angle_gamma 90.00
_space_group_name_H-M_alt 'I -4 2 d'
_space_group_IT_number 122
_space_group_name_Hall 'I -4 2bw'
loop_
_atom_site_label
_atom_site_fract_x
_atom_site_fract_y
_atom_site_fract_z
_atom_site_occupancy
In1 0.0000 0.0000 0.0000 1
Ru1 0.0000 0.0000 0.5000 1
W1 0.2030 0.7500 0.6250 1
```

Computed properties:
ΔH_f (0 K)	0.89	eV per atom
theoretical density	13.001	g/cm3
size of the total moment	0.00	μB per cell



InRuW2 | PBE | optimized geometry

Cell and atoms, written as CIF:
```
data_InRuW2
_chemical_formula_sum 'In2 Ru2 W4'
_cell_length_a 3.8261
_cell_length_b 3.8261
_cell_length_c 8.9963
_cell_angle_alpha 90.00
_cell_angle_beta 90.00
_cell_angle_gamma 90.00
_space_group_name_H-M_alt 'I 4/m m m'
_space_group_IT_number 139
_space_group_name_Hall '-I 4 2'
loop_
_atom_site_label
_atom_site_fract_x
_atom_site_fract_y
_atom_site_fract_z
_atom_site_occupancy
In1 0.0000 0.0000 0.0000 1
Ru1 0.0000 0.0000 0.5000 1
W1 0.0000 0.5000 0.2500 1
```

Computed properties:
ΔH_f (0 K)	0.36	eV per atom
theoretical density	14.716	g/cm3
size of the total moment	0.00	μB per cell



InRu2W2 | PBE | optimized geometry

Cell and atoms, written as CIF:
```
data_InRu2W2
_chemical_formula_sum 'In2 Ru4 W4'
_cell_length_a 7.6316
_cell_length_b 7.6316
_cell_length_c 2.8755
_cell_angle_alpha 90.00
_cell_angle_beta 90.00
_cell_angle_gamma 90.00
_space_group_name_H-M_alt 'P 4/m b m'
_space_group_IT_number 127
_space_group_name_Hall '-P 4 2ab'
loop_
_atom_site_label
_atom_site_fract_x
_atom_site_fract_y
_atom_site_fract_z
_atom_site_occupancy
In1 0.0000 0.0000 0.0000 1
Ru1 0.1319 0.3681 0.0000 1
W1 0.1574 0.6574 0.5000 1
```

Computed properties:
ΔH_f (0 K)	0.20	eV per atom
theoretical density	13.577	g/cm3
size of the total moment	0.00	μB per cell



InRuW2 | PBE | optimized geometry

Cell and atoms, written as CIF:
```
data_InRuW2
_chemical_formula_sum 'In2 Ru2 W4'
_cell_length_a 3.1757
_cell_length_b 4.6738
_cell_length_c 9.0282
_cell_angle_alpha 90.00
_cell_angle_beta 90.00
_cell_angle_gamma 90.00
_space_group_name_H-M_alt 'I m m 2'
_space_group_IT_number 44
loop_
_space_group_symop_operation_xyz
'x,y,z'
'-x,-y,z'
'-x,y,z'
'x,-y,z'
'x+1/2,y+1/2,z+1/2'
'-x+1/2,-y+1/2,z+1/2'
'-x+1/2,y+1/2,z+1/2'
'x+1/2,-y+1/2,z+1/2'
loop_
_atom_site_label
_atom_site_fract_x
_atom_site_fract_y
_atom_site_fract_z
_atom_site_occupancy
In1 0.0000 0.0000 0.0000 1
Ru1 0.0000 0.5000 0.7584 1
W1 0.0000 0.0000 0.5018 1
W2 0.0000 0.5000 0.2285 1
```

Computed properties:
ΔH_f (0 K)	0.43	eV per atom
theoretical density	14.463	g/cm3
size of the total moment	0.00	μB per cell



InRu2W | PBE | optimized geometry

Cell and atoms, written as CIF:
```
data_InRu2W
_chemical_formula_sum 'In1 Ru2 W1'
_cell_length_a 2.9948
_cell_length_b 2.9948
_cell_length_c 7.1597
_cell_angle_alpha 90.00
_cell_angle_beta 90.00
_cell_angle_gamma 90.00
_space_group_name_H-M_alt 'P 4/m m m'
_space_group_IT_number 123
_space_group_name_Hall '-P 4 2'
loop_
_atom_site_label
_atom_site_fract_x
_atom_site_fract_y
_atom_site_fract_z
_atom_site_occupancy
In1 0.0000 0.0000 0.0000 1
Ru1 0.5000 0.5000 0.2707 1
W1 0.0000 0.0000 0.5000 1
```

Computed properties:
ΔH_f (0 K)	0.02	eV per atom
energy above the lowest structure with this stoichiometry	0.000	eV per atom
theoretical density	12.950	g/cm3
size of the total moment	0.00	μB per cell



InRuW2 | PBE | optimized geometry

Cell and atoms, written as CIF:
```
data_InRuW2
_chemical_formula_sum 'In1 Ru1 W2'
_cell_length_a 4.7890
_cell_length_b 4.7890
_cell_length_c 2.9093
_cell_angle_alpha 90.00
_cell_angle_beta 90.00
_cell_angle_gamma 90.00
_space_group_name_H-M_alt 'P 4/m m m'
_space_group_IT_number 123
_space_group_name_Hall '-P 4 2'
loop_
_atom_site_label
_atom_site_fract_x
_atom_site_fract_y
_atom_site_fract_z
_atom_site_occupancy
In1 0.0000 0.0000 0.0000 1
Ru1 0.5000 0.5000 0.0000 1
W1 0.0000 0.5000 0.5000 1
```

Computed properties:
ΔH_f (0 K)	0.75	eV per atom
theoretical density	14.523	g/cm3
size of the total moment	0.00	μB per cell



InRuW | PBE | optimized geometry

Cell and atoms, written as CIF:
```
data_InRuW
_chemical_formula_sum 'In4 Ru4 W4'
_cell_length_a 6.1360
_cell_length_b 6.1360
_cell_length_c 6.1360
_cell_angle_alpha 90.00
_cell_angle_beta 90.00
_cell_angle_gamma 90.00
_space_group_name_H-M_alt 'F -4 3 m'
_space_group_IT_number 216
_space_group_name_Hall 'F -4 2 3'
loop_
_atom_site_label
_atom_site_fract_x
_atom_site_fract_y
_atom_site_fract_z
_atom_site_occupancy
In1 0.0000 0.0000 0.0000 1
Ru1 0.2500 0.2500 0.7500 1
W1 0.0000 0.0000 0.5000 1
```

Computed properties:
ΔH_f (0 K)	0.46	eV per atom
energy above the lowest structure with this stoichiometry	0.297	eV per atom
theoretical density	11.493	g/cm3
size of the total moment	0.00	μB per cell



InRu2W | PBE | optimized geometry

Cell and atoms, written as CIF:
```
data_InRu2W
_chemical_formula_sum 'In3 Ru6 W3'
_cell_length_a 2.8879
_cell_length_b 2.8879
_cell_length_c 26.7952
_cell_angle_alpha 90.00
_cell_angle_beta 90.00
_cell_angle_gamma 120.00
_space_group_name_H-M_alt 'R -3 m'
_space_group_IT_number 166
_space_group_name_Hall '-R 3 2"'
loop_
_atom_site_label
_atom_site_fract_x
_atom_site_fract_y
_atom_site_fract_z
_atom_site_occupancy
In1 0.0000 0.0000 0.0000 1
Ru1 0.0000 0.0000 0.2455 1
W1 0.0000 0.0000 0.5000 1
```

Computed properties:
ΔH_f (0 K)	0.18	eV per atom
energy above the lowest structure with this stoichiometry	0.160	eV per atom
theoretical density	12.891	g/cm3
size of the total moment	0.00	μB per cell



InRu2W | PBE | optimized geometry

Cell and atoms, written as CIF:
```
data_InRu2W
_chemical_formula_sum 'In1 Ru2 W1'
_cell_length_a 4.5242
_cell_length_b 4.5242
_cell_length_c 3.0997
_cell_angle_alpha 90.00
_cell_angle_beta 90.00
_cell_angle_gamma 90.00
_space_group_name_H-M_alt 'P 4/m m m'
_space_group_IT_number 123
_space_group_name_Hall '-P 4 2'
loop_
_atom_site_label
_atom_site_fract_x
_atom_site_fract_y
_atom_site_fract_z
_atom_site_occupancy
In1 0.0000 0.0000 0.0000 1
Ru1 0.0000 0.5000 0.5000 1
W1 0.5000 0.5000 0.0000 1
```

Computed properties:
ΔH_f (0 K)	0.18	eV per atom
energy above the lowest structure with this stoichiometry	0.155	eV per atom
theoretical density	13.107	g/cm3
size of the total moment	0.00	μB per cell



InRu2W | PBE | optimized geometry

Cell and atoms, written as CIF:
```
data_InRu2W
_chemical_formula_sum 'In4 Ru8 W4'
_cell_length_a 6.3297
_cell_length_b 6.3297
_cell_length_c 6.3297
_cell_angle_alpha 90.00
_cell_angle_beta 90.00
_cell_angle_gamma 90.00
_space_group_name_H-M_alt 'F m -3 m'
_space_group_IT_number 225
_space_group_name_Hall '-F 4 2 3'
loop_
_atom_site_label
_atom_site_fract_x
_atom_site_fract_y
_atom_site_fract_z
_atom_site_occupancy
In1 0.0000 0.0000 0.0000 1
Ru1 0.2500 0.2500 0.2500 1
W1 0.0000 0.0000 0.5000 1
```

Computed properties:
ΔH_f (0 K)	0.14	eV per atom
energy above the lowest structure with this stoichiometry	0.117	eV per atom
theoretical density	13.117	g/cm3
size of the total moment	0.00	μB per cell



In3RuW | PBE | optimized geometry

Cell and atoms, written as CIF:
```
data_In3RuW
_chemical_formula_sum 'In3 Ru1 W1'
_cell_length_a 5.2113
_cell_length_b 5.2113
_cell_length_c 5.2113
_cell_angle_alpha 90.00
_cell_angle_beta 90.00
_cell_angle_gamma 90.00
_space_group_name_H-M_alt 'P m -3 m'
_space_group_IT_number 221
_space_group_name_Hall '-P 4 2 3'
loop_
_atom_site_label
_atom_site_fract_x
_atom_site_fract_y
_atom_site_fract_z
_atom_site_occupancy
In1 0.0000 0.0000 0.5000 1
Ru1 0.5000 0.5000 0.5000 1
W1 0.0000 0.0000 0.0000 1
```

Computed properties:
ΔH_f (0 K)	1.50	eV per atom
energy above the lowest structure with this stoichiometry	0.273	eV per atom
theoretical density	7.384	g/cm3
size of the total moment	2.69	μB per cell